1.
# Sr6AgRh2

A relaxed Sr6AgRh2 crystal (PBE, Alexandria).

Calculated formation energy in eV per atom: -0.19
Final energy in eV for the cell shown: -29.3

Geometry as CIF:
```
data_Sr6AgRh2
_space_group_name_H-M_alt 'P -3 1 m'
_space_group_IT_number 162
_space_group_name_Hall '-P 3 2'
_cell_length_a 7.5122
_cell_length_b 7.5122
_cell_length_c 7.2360
_cell_angle_alpha 90.00
_cell_angle_beta 90.00
_cell_angle_gamma 120.00
loop_
_atom_site_label
_atom_site_type_symbol
_atom_site_fract_x
_atom_site_fract_y
_atom_site_fract_z
Sr1 Sr 0.0000 0.3493 0.2296
Ag1 Ag 0.0000 0.0000 0.5000
Rh1 Rh 0.3333 0.6667 0.0000
```

2.
# SrAgRh2

A relaxed SrAgRh2 crystal (PBE, Alexandria).

Calculated formation energy in eV per atom: 0.12
Final energy in eV for the cell shown: -18.8

Geometry as CIF:
```
data_SrAgRh2
_space_group_name_H-M_alt 'P m m 2'
_space_group_IT_number 25
_cell_length_a 3.031
_cell_length_b 3.755
_cell_length_c 7.097
_cell_angle_alpha 90.00
_cell_angle_beta 90.00
_cell_angle_gamma 90.00
loop_
_space_group_symop_operation_xyz
'x,y,z'
'-x,-y,z'
'-x,y,z'
'x,-y,z'
loop_
_atom_site_label
_atom_site_type_symbol
_atom_site_fract_x
_atom_site_fract_y
_atom_site_fract_z
Sr1 Sr 0.000 0.000 0.000
Ag1 Ag 0.500 0.500 0.321
Rh1 Rh 0.000 0.000 0.558
Rh2 Rh 0.500 0.500 0.706
```

Question: Which value of calculated formation energy does entry 2 give?
Answer: 0.12 eV per atom